[1]
The following is a PBE-GGA calculation of a geometry-optimized Ca3TmNp2N6 structure, from Alexandria via LeMat-Bulk.

Summary:
uncorrected formation energy = -15.36 eV/f.u.
total moment = 5.00 μB per formula unit
crystal system = monoclinic
space group = C2/m

abc: 7.713 7.713 6.976
angles: 103.53 103.53 26.10
Fractional positions:
Ca (0.000, 0.000, 0.000)
Ca (0.334, 0.334, 0.667)
Ca (0.666, 0.666, 0.333)
Tm (0.000, 0.000, 0.500)
Np (0.335, 0.335, 0.172)
Np (0.665, 0.665, 0.828)
N (0.162, 0.162, 0.606)
N (0.177, 0.177, 0.065)
N (0.486, 0.486, 0.256)
N (0.514, 0.514, 0.744)
N (0.823, 0.823, 0.935)
N (0.838, 0.838, 0.394)

[2]
The following is a PBE-GGA calculation of a geometry-optimized Ca3Tm2NpN6 structure, from Alexandria via LeMat-Bulk.

Summary:
uncorrected formation energy = -16.94 eV/f.u.
total moment = 1.00 μB per formula unit
crystal system = monoclinic
space group = C2/m

abc: 5.945 5.945 6.018
angles: 99.49 99.49 120.03
Fractional positions:
Ca (0.000, 0.000, 0.000)
Ca (0.333, 0.667, 0.000)
Ca (0.667, 0.333, 0.000)
Tm (0.167, 0.833, 0.500)
Tm (0.833, 0.167, 0.500)
Np (0.500, 0.500, 0.500)
N (0.116, 0.427, 0.281)
N (0.262, 0.262, 0.713)
N (0.427, 0.116, 0.281)
N (0.573, 0.884, 0.719)
N (0.738, 0.738, 0.287)
N (0.884, 0.573, 0.719)

[3]
The following is a PBE-GGA calculation of a geometry-optimized Ca4NpU3N8 structure, from Alexandria via LeMat-Bulk.

Summary:
uncorrected formation energy = -20.04 eV/f.u.
total moment = 8.91 μB per formula unit
crystal system = trigonal
space group = R-3m

abc: 7.001 7.001 7.001
angles: 59.89 59.89 59.89
Fractional positions:
Ca (0.000, 0.000, 0.000)
Ca (0.000, 0.500, 0.500)
Ca (0.500, 0.000, 0.500)
Ca (0.500, 0.500, 0.000)
Np (0.500, 0.500, 0.500)
U (0.000, 0.000, 0.500)
U (0.000, 0.500, 0.000)
U (0.500, 0.000, 0.000)
N (0.231, 0.742, 0.742)
N (0.238, 0.238, 0.238)
N (0.258, 0.258, 0.769)
N (0.258, 0.769, 0.258)
N (0.742, 0.231, 0.742)
N (0.742, 0.742, 0.231)
N (0.762, 0.762, 0.762)
N (0.769, 0.258, 0.258)

[4]
The following is a PBE-GGA calculation of a geometry-optimized CaNp4UN8 structure, from Alexandria via LeMat-Bulk.

Summary:
uncorrected formation energy = -14.60 eV/f.u.
total moment = 12.00 μB per formula unit
crystal system = trigonal
space group = R3m

abc: 6.722 6.722 6.722
angles: 61.27 61.27 61.27
Fractional positions:
Ca (0.000, 0.000, 0.000)
Np (0.001, 0.001, 0.501)
Np (0.001, 0.501, 0.001)
Np (0.501, 0.001, 0.001)
Np (0.620, 0.620, 0.620)
U (0.383, 0.383, 0.383)
N (0.216, 0.748, 0.748)
N (0.243, 0.243, 0.243)
N (0.252, 0.252, 0.779)
N (0.252, 0.779, 0.252)
N (0.748, 0.216, 0.748)
N (0.748, 0.748, 0.216)
N (0.763, 0.763, 0.763)
N (0.779, 0.252, 0.252)

[5]
The following is a PBE-GGA calculation of a geometry-optimized Ca3NpU2N6 structure, from Alexandria via LeMat-Bulk.

Summary:
uncorrected formation energy = -14.92 eV/f.u.
total moment = 6.96 μB per formula unit
crystal system = monoclinic
space group = C2/m

abc: 7.825 7.825 6.995
angles: 103.04 103.04 25.81
Fractional positions:
Ca (0.000, 0.000, 0.000)
Ca (0.334, 0.334, 0.666)
Ca (0.666, 0.666, 0.334)
Np (0.000, 0.000, 0.500)
U (0.334, 0.334, 0.169)
U (0.666, 0.666, 0.831)
N (0.162, 0.162, 0.608)
N (0.175, 0.175, 0.062)
N (0.490, 0.490, 0.265)
N (0.510, 0.510, 0.735)
N (0.825, 0.825, 0.938)
N (0.838, 0.838, 0.392)

[6]
The following is a PBE-GGA calculation of a geometry-optimized Ca2NpUN4 structure, from Alexandria via LeMat-Bulk.

Summary:
uncorrected formation energy = -9.81 eV/f.u.
total moment = 5.00 μB per formula unit
crystal system = monoclinic
space group = P2/m

abc: 6.050 3.495 6.062
angles: 90.00 109.58 90.00
Fractional positions:
Ca (0.000, 0.000, 0.000)
Ca (0.500, 0.500, 0.000)
Np (0.000, 0.500, 0.500)
U (0.500, 0.000, 0.500)
N (0.244, 0.000, 0.713)
N (0.269, 0.500, 0.285)
N (0.731, 0.500, 0.715)
N (0.756, 0.000, 0.287)

| no. | raw total energy (eV/cell) | volume (Å³/atom) |
| --- | --- | --- |
| 1 | -101.67 | 14.77 |
| 2 | -94.78 | 14.49 |
| 3 | -141.46 | 15.13 |
| 4 | -146.25 | 15.78 |
| 5 | -106.39 | 15.12 |
| 6 | -71.35 | 15.10 |